AcCe2In6: relaxed, PBE.

Cell lengths 8.894, 8.894, 3.693 Å; angles 90.00, 90.00, 120.00 degrees
Element x y z (fractional)
Ac (0.000, 0.000, 0.000)
Ce (0.333, 0.667, 0.000)
Ce (0.667, 0.333, 0.000)
In (0.000, 0.338, 0.500)
In (0.000, 0.662, 0.500)
In (0.338, 0.000, 0.500)
In (0.338, 0.338, 0.500)
In (0.662, 0.000, 0.500)
In (0.662, 0.662, 0.500)

Output
energy relative to the elements	-36.2	kJ/mol of atoms
crystal system	hexagonal
VASP energy	-3.98	eV per atom
space group	P6/mmm



BaBi: relaxed, PBE.

Cell lengths 4.075, 4.075, 4.808 Å; angles 90.00, 90.00, 90.00 degrees
Element x y z (fractional)
Ba (0.000, 0.000, 0.000)
Bi (0.500, 0.500, 0.500)

Output
energy relative to the elements	-75.1	kJ/mol of atoms
crystal system	tetragonal
VASP energy	-3.68	eV per atom
space group	P4/mmm



SiI2NO: relaxed, PBE.

Cell lengths 5.743, 5.743, 3.398 Å; angles 90.00, 90.00, 90.00 degrees
Element x y z (fractional)
Si (0.000, 0.000, 0.000)
I (0.000, 0.500, 0.000)
I (0.500, 0.000, 0.000)
N (0.500, 0.500, 0.500)
O (0.000, 0.000, 0.500)

Output
energy relative to the lowest polymorph listed for this composition	0	meV per atom
ΔE_f (raw)	571	meV per atom
crystal system	tetragonal
VASP energy	-3.79	eV per atom
space group	P4/mmm



Pm3Ge6RhAu2: relaxed, PBE.

Cell lengths 6.000, 6.000, 8.244 Å; angles 90.00, 90.00, 120.00 degrees
Element x y z (fractional)
Pm (0.000, 0.000, 0.000)
Pm (0.333, 0.667, 0.636)
Pm (0.667, 0.333, 0.364)
Ge (0.186, 0.373, 0.297)
Ge (0.186, 0.814, 0.297)
Ge (0.373, 0.186, 0.703)
Ge (0.627, 0.814, 0.297)
Ge (0.814, 0.186, 0.703)
Ge (0.814, 0.627, 0.703)
Rh (0.000, 0.000, 0.500)
Au (0.333, 0.667, 0.002)
Au (0.667, 0.333, 0.998)

Output
energy relative to the elements	-46.9	kJ/mol of atoms
crystal system	trigonal
VASP energy	-5.14	eV per atom
space group	P-3m1



LaCu6Ni2: relaxed, PBE.

Cell lengths 6.611, 6.611, 6.611 Å; angles 143.33, 124.92, 68.01 degrees
Element x y z (fractional)
La (0.000, 0.000, 0.000)
Cu (0.088, 0.288, 0.800)
Cu (0.317, 0.500, 0.817)
Cu (0.488, 0.288, 0.200)
Cu (0.512, 0.712, 0.800)
Cu (0.683, 0.500, 0.183)
Cu (0.912, 0.712, 0.200)
Ni (0.384, 0.884, 0.500)
Ni (0.616, 0.116, 0.500)

Output
energy relative to the elements	12.7	kJ/mol of atoms
crystal system	orthorhombic
VASP energy	-4.43	eV per atom
space group	Immm



Cr2C: relaxed, PBE.

Cell lengths 5.202, 5.202, 5.202 Å; angles 148.84, 129.27, 60.74 degrees
Element x y z (fractional)
Cr (0.217, 0.217, 0.000)
Cr (0.254, 0.500, 0.754)
Cr (0.746, 0.500, 0.246)
Cr (0.783, 0.783, 0.000)
C (0.368, 0.868, 0.500)
C (0.632, 0.132, 0.500)

Output
energy relative to the elements	8.5	kJ/mol of atoms
crystal system	orthorhombic
VASP energy	-9.40	eV per atom
space group	Immm